(1)
Entry from Alexandria: a geometry-optimized K2RbTlCd structure (GGA-PBE).

POSCAR file:
```
K2RbTlCd
1.0
-0.994 -1.990 6.456
6.756 -0.258 0.961
-0.031 5.599 1.722
Cd K Rb Tl
1 2 1 1
Cartesian
0.000 0.000 0.000
3.378 -0.129 0.480
-0.497 -0.995 3.228
2.866 1.675 4.569
-0.015 2.800 0.861
```

Computed properties:
**ΔH_f (0 K)**: 0.0260 eV per atom
**Calculated volume**: 273 Å³/f.u.
**SG**: P4/mmm


(2)
Entry from Alexandria: a geometry-optimized ZrB2Br structure (GGA-PBE).

POSCAR file:
```
ZrB2Br
1.0
-2.317 -0.266 -5.474
1.525 -5.739 -0.366
-3.584 -3.939 -1.526
B Br Zr
4 2 2
Cartesian
-3.434 -8.005 -6.241
-2.930 -5.410 -3.347
-0.315 -4.615 -1.489
-2.071 -1.859 -3.654
-1.227 -6.341 -2.406
-0.396 -3.003 -2.920
0.000 0.000 0.000
-3.148 -3.604 -4.960
```

Computed properties:
**Calculated volume**: 64 Å³/f.u.
**SG**: I-42d
**ΔE_f (raw)**: 1.1746 eV per atom


(3)
Entry from Alexandria: a geometry-optimized TaAlBr structure (GGA-PBE).

POSCAR file:
```
TaAlBr
1.0
-3.332 -0.319 -5.894
0.528 -2.356 -6.334
0.477 -0.550 6.739
Br Al Ta
1 1 1
Cartesian
-0.850 -0.811 -3.707
-0.090 -0.085 -0.391
-1.865 -1.778 -8.130
```

Computed properties:
**Calculated volume**: 62 Å³/f.u.
**SG**: I4mm
**ΔE_f (raw)**: 0.1923 eV per atom


(4)
Entry from Alexandria: a geometry-optimized SrTe2SN structure (GGA-PBE).

POSCAR file:
```
SrTe2SN
1.0
-0.476 4.853 -3.914
-0.024 -3.927 -4.866
-4.759 -0.272 0.242
Te N Sr S
2 1 1 1
Cartesian
-0.012 -1.963 -2.433
-0.238 2.426 -1.957
-2.380 -0.136 0.121
0.000 0.000 0.000
-2.630 0.327 -4.269
```

Computed properties:
**Calculated volume**: 187 Å³/f.u.
**SG**: P4/mmm
**ΔE_f (raw)**: 1.1792 eV per atom


(5)
Entry from Alexandria: a geometry-optimized CaTiI2O structure (GGA-PBE).

POSCAR file:
```
CaTiI2O
1.0
-4.796 -1.896 -2.833
-0.240 -4.690 3.546
-2.202 1.946 2.424
Ti I Ca O
1 2 1 1
Cartesian
0.000 0.000 0.000
-0.120 -2.345 1.773
-2.398 -0.948 -1.417
-3.619 -2.320 1.568
-1.101 0.973 1.212
```

Computed properties:
**Calculated volume**: 132 Å³/f.u.
**SG**: P4/mmm
**ΔE_f (raw)**: -1.3328 eV per atom


(6)
Entry from Alexandria: a geometry-optimized Nb2FeRe2 structure (GGA-PBE).

POSCAR file:
```
Nb2FeRe2
1.0
3.513 0.000 0.000
0.000 3.513 0.000
1.757 1.757 7.208
Re Fe Nb
2 1 2
Cartesian
3.513 1.757 3.604
1.757 3.513 3.604
0.000 0.000 0.000
1.757 1.757 1.357
3.513 3.513 5.851
```

Computed properties:
**ΔH_f (0 K)**: 0.6986 eV per atom
**Calculated volume**: 89 Å³/f.u.
**SG**: I4/mmm


(7)
Entry from Alexandria: a geometry-optimized HgTeAs2 structure (GGA-PBE).

POSCAR file:
```
HgTeAs2
1.0
3.780 0.000 0.000
0.000 5.420 0.000
0.000 0.000 4.582
As Hg Te
2 1 1
Cartesian
0.000 0.000 0.000
1.890 2.710 0.000
1.890 0.000 2.291
0.000 2.710 2.291
```

Computed properties:
**Calculated volume**: 94 Å³/f.u.
**SG**: Pmmm
**ΔE_f (raw)**: 0.4377 eV per atom


(8)
Entry from Alexandria: a geometry-optimized KB2H6 structure (GGA-PBE).

POSCAR file:
```
KB2H6
1.0
-5.296 -1.559 -0.395
-4.186 -0.107 7.710
-4.097 3.707 0.330
B H K
4 12 2
Cartesian
-10.093 0.917 3.956
-5.935 -0.494 7.330
-7.644 2.535 0.316
-3.486 1.123 3.690
-11.553 1.389 7.457
-5.887 -0.456 6.118
-10.192 0.659 5.137
-7.693 2.497 1.528
-2.026 0.652 0.188
-9.368 1.847 3.658
-4.212 0.194 3.987
-5.806 2.354 3.683
-8.553 -0.573 7.142
-5.027 2.614 0.503
-7.774 -0.313 3.963
-3.388 1.382 2.508
-5.929 0.234 1.783
-7.651 1.807 5.862
```

Computed properties:
**Calculated volume**: 102 Å³/f.u.
**VASP energy**: -3.949 eV/atom
**SG**: C2/c


(9)
Entry from Alexandria: a geometry-optimized B2HRhC structure (GGA-PBE).

POSCAR file:
```
B2HRhC
1.0
-0.734 3.910 1.028
-2.775 0.169 -2.626
-2.731 -1.250 2.805
B Rh C H
2 1 1 1
Cartesian
-0.367 1.955 0.514
-1.365 -0.625 1.402
0.000 0.000 0.000
-1.387 0.085 -1.313
-3.120 1.415 0.604
```

Computed properties:
**Calculated volume**: 65 Å³/f.u.
**VASP energy**: -4.913 eV/atom
**SG**: P4/mmm


(10)
Entry from Alexandria: a geometry-optimized Pm3Be2Pd5 structure (GGA-PBE).

POSCAR file:
```
Pm3Be2Pd5
1.0
3.617 0.000 0.000
0.000 10.108 0.000
0.000 0.000 10.108
Pd Be Pm
10 4 6
Cartesian
1.808 5.760 7.380
1.808 7.781 9.401
1.808 0.000 5.054
1.808 4.347 2.727
1.808 2.727 5.760
1.808 2.327 0.707
1.808 7.380 4.347
1.808 9.401 2.327
1.808 5.054 0.000
1.808 0.707 7.781
0.000 3.904 1.150
0.000 1.150 6.204
0.000 6.204 8.958
0.000 8.958 3.904
0.000 5.054 5.054
0.000 1.804 3.249
0.000 6.858 1.804
0.000 0.000 0.000
0.000 3.249 8.303
0.000 8.303 6.858
```

Computed properties:
**ΔH_f (0 K)**: -0.6994 eV per atom
**Calculated volume**: 185 Å³/f.u.
**SG**: P4/mbm


(11)
Entry from Alexandria: a geometry-optimized V2TcSb structure (GGA-PBE).

POSCAR file:
```
V2TcSb
1.0
3.854 0.000 0.000
0.000 3.854 0.000
1.927 1.927 9.177
Tc V Sb
2 4 2
Cartesian
1.927 3.854 4.589
1.927 1.927 0.000
2.948 0.964 2.294
4.818 4.875 6.883
0.906 2.891 2.294
2.891 2.833 6.883
0.000 0.000 0.000
3.854 1.927 4.589
```

Computed properties:
**Calculated volume**: 68 Å³/f.u.
**SG**: I-42d
**ΔE_f (raw)**: 0.5392 eV per atom


(12)
Entry from Alexandria: a geometry-optimized Tm3Al7Tc2 structure (GGA-PBE).

POSCAR file:
```
Tm3Al7Tc2
1.0
-3.901 0.477 -3.766
-4.781 -2.505 0.702
-5.992 6.387 3.082
Al Tc Tm
7 2 3
Cartesian
-5.051 0.656 -0.558
-9.623 3.704 0.575
-7.475 -0.614 -0.203
-7.028 0.898 -2.467
-7.337 2.180 0.009
-7.645 3.462 2.484
-7.199 4.974 0.220
-5.802 -1.321 -2.025
-8.872 5.680 2.042
-4.619 3.257 1.263
-10.055 1.103 -1.246
0.000 0.000 0.000
```

Computed properties:
**ΔH_f (0 K)**: -0.4163 eV per atom
**Calculated volume**: 224 Å³/f.u.
**SG**: R-3m